No. 1
A plane-wave DFT calculation with PBE was carried out for crystalline YHoNi at its relaxed geometry.

Calculated values
- energy above the lowest structure with this stoichiometry (meV/atom) = 152
- energy relative to the elements (eV per formula unit) = -0.5
- density of states at the Fermi level (states/eV per cell) = 11.06
- final energy (eV for the cell shown) = -69.13

```
data_YHoNi
_space_group_name_H-M_alt 'F -4 3 m'
_space_group_IT_number 216
_space_group_name_Hall 'F -4 2 3'
_cell_length_a 6.702
_cell_length_b 6.702
_cell_length_c 6.702
_cell_angle_alpha 90.00
_cell_angle_beta 90.00
_cell_angle_gamma 90.00
loop_
_atom_site_label
_atom_site_fract_x
_atom_site_fract_y
_atom_site_fract_z
Y1 0.000 0.000 0.000
Ho1 0.000 0.000 0.500
Ni1 0.250 0.250 0.250
```

No. 2
A plane-wave DFT calculation with PBE was carried out for crystalline Ac7Nd5 at its relaxed geometry.

Calculated values
- energy relative to the elements (eV per formula unit) = 0.4
- density of states at the Fermi level (states/eV per cell) = 37.89
- final energy (eV for the cell shown) = -104.47

```
data_Ac7Nd5
_space_group_name_H-M_alt 'C 1 2/m 1'
_space_group_IT_number 12
_cell_length_a 20.144
_cell_length_b 3.897
_cell_length_c 14.220
_cell_angle_alpha 90.00
_cell_angle_beta 118.32
_cell_angle_gamma 90.00
loop_
_space_group_symop_operation_xyz
'x,y,z'
'-x,-y,-z'
'-x,y,-z'
'x,-y,z'
'x+1/2,y+1/2,z'
'-x+1/2,-y+1/2,-z'
'-x+1/2,y+1/2,-z'
'x+1/2,-y+1/2,z'
loop_
_atom_site_label
_atom_site_fract_x
_atom_site_fract_y
_atom_site_fract_z
Ac1 0.000 0.000 0.000
Ac2 0.028 0.500 0.251
Ac3 0.141 0.000 0.755
Ac4 0.168 0.000 0.505
Nd1 0.000 0.500 0.500
Nd2 0.169 0.500 0.006
Nd3 0.193 0.000 0.246
```

No. 3
A plane-wave DFT calculation with PBE was carried out for crystalline Pm2Y3HoAs6 at its relaxed geometry.

Calculated values
- energy relative to the elements (eV per formula unit) = -18.5
- density of states at the Fermi level (states/eV per cell) = 3.67
- final energy (eV for the cell shown) = -159.64

```
data_Pm2Y3HoAs6
_space_group_name_H-M_alt 'C 1 2/m 1'
_space_group_IT_number 12
_cell_length_a 18.125
_cell_length_b 4.161
_cell_length_c 8.316
_cell_angle_alpha 90.00
_cell_angle_beta 103.24
_cell_angle_gamma 90.00
loop_
_space_group_symop_operation_xyz
'x,y,z'
'-x,-y,-z'
'-x,y,-z'
'x,-y,z'
'x+1/2,y+1/2,z'
'-x+1/2,-y+1/2,-z'
'-x+1/2,y+1/2,-z'
'x+1/2,-y+1/2,z'
loop_
_atom_site_label
_atom_site_fract_x
_atom_site_fract_y
_atom_site_fract_z
Pm1 0.166 0.000 0.332
Y1 0.000 0.500 0.500
Y2 0.167 0.000 0.834
Ho1 0.000 0.500 0.000
As1 0.002 0.000 0.752
As2 0.165 0.500 0.587
As3 0.166 0.500 0.078
```

No. 4
A plane-wave DFT calculation with PBE was carried out for crystalline AcPa2B at its relaxed geometry.

Calculated values
- energy relative to the elements (eV per formula unit) = 0.9
- density of states at the Fermi level (states/eV per cell) = 21.77
- final energy (eV for the cell shown) = -86.55

```
data_AcPa2B
_space_group_name_H-M_alt 'R -3 m'
_space_group_IT_number 166
_space_group_name_Hall '-R 3 2"'
_cell_length_a 3.5317
_cell_length_b 3.5317
_cell_length_c 29.2572
_cell_angle_alpha 90.00
_cell_angle_beta 90.00
_cell_angle_gamma 120.00
loop_
_atom_site_label
_atom_site_fract_x
_atom_site_fract_y
_atom_site_fract_z
Ac1 0.0000 0.0000 0.0000
Pa1 0.0000 0.0000 0.1169
B1 0.0000 0.0000 0.5000
```